(1)
Material: TlAsPt3
Method: DFT, PBE
State: relaxed

abc: 5.0143 5.0143 5.0143
angles: 90.00 90.00 90.00
Closest atoms and distances in Å follow each position.
Fractional positions:
Tl1 0.0000 0.0000 0.0000  6 Pt 2.51
As1 0.5000 0.5000 0.5000  12 Pt 3.55
Pt1 0.0000 0.0000 0.5000  2 Tl 2.51
Pt2 0.0000 0.5000 0.0000  2 Tl 2.51
Pt3 0.5000 0.0000 0.0000  2 Tl 2.51

Computed properties:
DOS(E_F): 2.70 states/eV/f.u.
E_tot: -3.63 eV per atom



(2)
Material: TlAs2Pt
Method: DFT, PBE
State: relaxed

abc: 8.0222 4.0349 6.3167
angles: 90.00 106.04 90.00
Closest atoms and distances in Å follow each position.
Fractional positions:
Tl1 0.0000 0.0000 0.0000  6 As 3.20-3.38, 2 Pt 3.35
Tl2 0.5000 0.5000 0.0000  6 As 3.20-3.38, 2 Pt 3.35
As1 0.2394 0.0000 0.6700  1 As 2.51, 2 Pt 2.54
As2 0.3796 0.0000 0.3602  3 Pt 2.48-2.57, 1 As 2.51
As3 0.7394 0.5000 0.6700  1 As 2.51, 2 Pt 2.54
As4 0.8796 0.5000 0.3602  3 Pt 2.48-2.57, 1 As 2.51
Pt1 0.1982 0.5000 0.4165  5 As 2.48-2.57
Pt2 0.6982 0.0000 0.4165  5 As 2.48-2.57

Computed properties:
DOS(E_F): 1.93 states/eV/f.u.
E_tot: -4.50 eV per atom



(3)
Material: TlAs2Pt
Method: DFT, PBE
State: relaxed

abc: 4.7275 3.8992 5.8805
angles: 90.00 102.44 90.00
Closest atoms and distances in Å follow each position.
Fractional positions:
Tl1 0.0000 0.0000 0.0000  2 Pt 2.85, 1 As 3.17
As1 0.3425 0.5000 0.5170  2 Pt 2.42-2.50, 2 As 2.56
As2 0.6089 0.0000 0.3749  2 As 2.56, 2 Pt 2.65
Pt1 0.8839 0.5000 0.6383  4 As 2.42-2.65

Computed properties:
DOS(E_F): 1.71 states/eV/f.u.
E_tot: -4.43 eV per atom



(4)
Material: TlAs2Pt
Method: DFT, PBE
State: relaxed

abc: 4.5731 3.9092 5.4622
angles: 90.00 106.66 90.00
Closest atoms and distances in Å follow each position.
Fractional positions:
Tl1 0.0000 0.0000 0.0000  2 Pt 3.02, 4 As 3.17
As1 0.2562 0.5000 0.6530  1 As 2.46, 2 Pt 2.51
As2 0.7438 0.5000 0.3470  1 As 2.46, 2 Pt 2.51
Pt1 0.5000 0.0000 0.5000  4 As 2.51

Computed properties:
DOS(E_F): 1.77 states/eV/f.u.
E_tot: -4.65 eV per atom



(5)
Material: TlAsPt
Method: DFT, PBE
State: relaxed

abc: 3.7332 3.7332 5.8277
angles: 90.00 90.00 120.00
Closest atoms and distances in Å follow each position.
Fractional positions:
Tl1 0.0000 0.0000 0.0000  3 Pt 3.03, 3 As 3.33
As1 0.6667 0.3333 0.4361  3 Pt 2.45
Pt1 0.3333 0.6667 0.6356  3 As 2.45

Computed properties:
DOS(E_F): 1.46 states/eV/f.u.
E_tot: -4.49 eV per atom



(6)
Material: TlAs2Pt
Method: DFT, PBE
State: relaxed

abc: 3.6827 3.8041 13.2822
angles: 90.00 90.00 90.00
Closest atoms and distances in Å follow each position.
Fractional positions:
Tl1 0.0000 0.0000 0.0000  6 As 3.14-3.33
Tl2 0.5000 0.5000 0.5000  6 As 3.14-3.33
As1 0.0000 0.0000 0.3482  2 Pt 2.52, 2 As 2.78
As2 0.0000 0.5000 0.6916  4 Pt 2.68, 2 As 2.78
As3 0.5000 0.0000 0.1916  4 Pt 2.68, 2 As 2.78
As4 0.5000 0.5000 0.8482  2 Pt 2.52, 2 As 2.78
Pt1 0.0000 0.5000 0.2242  6 As 2.52-2.68
Pt2 0.5000 0.0000 0.7242  6 As 2.52-2.68

Computed properties:
DOS(E_F): 2.05 states/eV/f.u.
E_tot: -4.42 eV per atom



(7)
Material: TlAs2Pt
Method: DFT, PBE
State: relaxed

abc: 3.0475 5.6742 10.2355
angles: 90.00 90.00 90.00
Closest atoms and distances in Å follow each position.
Fractional positions:
Tl1 0.0000 0.0000 0.0000  2 Tl 3.05, 4 Pt 3.22
Tl2 0.5000 0.5000 0.5000  2 Tl 3.05, 4 Pt 3.22
As1 0.0000 0.5000 0.2004  2 Pt 2.56
As2 0.0000 0.5000 0.7996  2 Pt 2.56
As3 0.5000 0.0000 0.2996  2 Pt 2.56
As4 0.5000 0.0000 0.7004  2 Pt 2.56
Pt1 0.0000 0.0000 0.5000  4 As 2.56
Pt2 0.5000 0.5000 0.0000  4 As 2.56

Computed properties:
DOS(E_F): 1.74 states/eV/f.u.
E_tot: -4.38 eV per atom



(8)
Material: TlAs2Pt
Method: DFT, PBE
State: relaxed

abc: 4.0136 4.0136 19.8757
angles: 90.00 90.00 120.00
Closest atoms and distances in Å follow each position.
Fractional positions:
Tl1 0.0000 0.0000 0.0000  6 As 3.22
Tl2 0.3333 0.6667 0.6667  6 As 3.22
Tl3 0.6667 0.3333 0.3333  6 As 3.22
As1 0.0000 0.0000 0.2208  3 Pt 2.56
As2 0.0000 0.0000 0.7792  3 Pt 2.56
As3 0.3333 0.6667 0.4458  3 Pt 2.56
As4 0.3333 0.6667 0.8875  3 Pt 2.56
As5 0.6667 0.3333 0.1125  3 Pt 2.56
As6 0.6667 0.3333 0.5542  3 Pt 2.56
Pt1 0.0000 0.0000 0.5000  6 As 2.56
Pt2 0.3333 0.6667 0.1667  6 As 2.56
Pt3 0.6667 0.3333 0.8333  6 As 2.56

Computed properties:
DOS(E_F): 0.98 states/eV/f.u.
E_tot: -4.63 eV per atom



(9)
Material: TlAsPt2W
Method: DFT, PBE
State: relaxed

abc: 4.9844 4.9844 5.1829
angles: 90.00 90.00 90.00
Closest atoms and distances in Å follow each position.
Fractional positions:
Tl1 0.0000 0.0000 0.0000  4 Pt 2.49, 2 W 2.59
As1 0.5000 0.5000 0.5000  4 W 3.52, 8 Pt 3.60
Pt1 0.0000 0.5000 0.0000  2 Tl 2.49
Pt2 0.5000 0.0000 0.0000  2 Tl 2.49
W1 0.0000 0.0000 0.5000  2 Tl 2.59

Computed properties:
DOS(E_F): 4.08 states/eV/f.u.
E_tot: -4.35 eV per atom



(10)
Material: Tm2AsPt
Method: DFT, PBE
State: relaxed

abc: 4.0465 4.0465 19.9705
angles: 90.00 90.00 120.00
Closest atoms and distances in Å follow each position.
Fractional positions:
Tm1 0.0000 0.0000 0.2486  3 Pt 2.85, 3 As 2.88
Tm2 0.0000 0.0000 0.7514  3 Pt 2.85, 3 As 2.88
Tm3 0.3333 0.6667 0.4181  3 Pt 2.85, 3 As 2.88
Tm4 0.3333 0.6667 0.9152  3 Pt 2.85, 3 As 2.88
Tm5 0.6667 0.3333 0.0848  3 Pt 2.85, 3 As 2.88
Tm6 0.6667 0.3333 0.5819  3 Pt 2.85, 3 As 2.88
As1 0.0000 0.0000 0.0000  6 Tm 2.88
As2 0.3333 0.6667 0.6667  6 Tm 2.88
As3 0.6667 0.3333 0.3333  6 Tm 2.88
Pt1 0.0000 0.0000 0.5000  6 Tm 2.85
Pt2 0.3333 0.6667 0.1667  6 Tm 2.85
Pt3 0.6667 0.3333 0.8333  6 Tm 2.85

Computed properties:
DOS(E_F): 2.57 states/eV/f.u.
E_tot: -6.14 eV per atom



(11)
Material: U2AsPt
Method: DFT, PBE
State: relaxed

abc: 2.9746 2.9746 31.7146
angles: 90.00 90.00 120.00
Closest atoms and distances in Å follow each position.
Fractional positions:
U1 0.0000 0.0000 0.0859  1 Pt 2.73, 6 U 2.97
U2 0.0000 0.0000 0.9141  1 Pt 2.73, 6 U 2.97
U3 0.3333 0.6667 0.5807  1 Pt 2.73, 6 U 2.97
U4 0.3333 0.6667 0.7526  1 Pt 2.73, 6 U 2.97
U5 0.6667 0.3333 0.2474  1 Pt 2.73, 6 U 2.97
U6 0.6667 0.3333 0.4193  1 Pt 2.73, 6 U 2.97
As1 0.0000 0.0000 0.5000  6 As 2.97, 6 U 3.08
As2 0.3333 0.6667 0.1667  6 As 2.97, 6 U 3.08
As3 0.6667 0.3333 0.8333  6 As 2.97, 6 U 3.08
Pt1 0.0000 0.0000 0.0000  2 U 2.73, 6 Pt 2.97
Pt2 0.3333 0.6667 0.6667  2 U 2.73, 6 Pt 2.97
Pt3 0.6667 0.3333 0.3333  2 U 2.73, 6 Pt 2.97

Computed properties:
DOS(E_F): 8.05 states/eV/f.u.
E_tot: -8.27 eV per atom



(12)
Material: UAsPt
Method: DFT, PBE
State: relaxed

abc: 4.0760 12.8660 4.2072
angles: 90.00 90.00 90.00
Closest atoms and distances in Å follow each position.
Fractional positions:
U1 0.0000 0.0564 0.2500  2 U 2.56
U2 0.0000 0.9436 0.7500  2 U 2.56
U3 0.5000 0.4436 0.7500  2 U 2.56
U4 0.5000 0.5564 0.2500  2 U 2.56
As1 0.0000 0.3866 0.2500  2 Pt 2.57
As2 0.0000 0.6134 0.7500  2 Pt 2.57
As3 0.5000 0.1134 0.7500  2 Pt 2.57
As4 0.5000 0.8866 0.2500  2 Pt 2.57
Pt1 0.0000 0.2725 0.7500  2 As 2.57
Pt2 0.0000 0.7275 0.2500  2 As 2.57
Pt3 0.5000 0.2275 0.2500  2 As 2.57
Pt4 0.5000 0.7725 0.7500  2 As 2.57

Computed properties:
DOS(E_F): 4.23 states/eV/f.u.
E_tot: -7.82 eV per atom